[1]
A crystal of ScP2Ir relaxed with PBEsol, computed with SCAN.

Properties
relative energy among the computed polymorphs: 0.0472 eV/atom
SG: P4mm (99)
formation energy from the elements: -0.647 eV/atom

a = 3.417 Å, b = 3.417 Å, c = 5.230 Å
α = 90.00°, β = 90.00°, γ = 90.00°
Sites, in units of the cell vectors:
Ir: 0.500 0.500 0.819
P: 0.000 0.000 0.944
P: 0.500 0.500 0.290
Sc: 0.000 0.000 0.447

[2]
A crystal of LiCd3Si relaxed with PBEsol, computed with SCAN.

Properties
SG: Pm-3m (221)
E_form (uncorrected): 0.40 eV/atom

a = 5.083 Å, b = 5.083 Å, c = 5.083 Å
α = 90.00°, β = 90.00°, γ = 90.00°
Sites, in units of the cell vectors:
Si: 0.000 0.000 0.000
Li: 0.500 0.500 0.500
Cd: 0.000 0.500 0.000
Cd: 0.000 0.000 0.500
Cd: 0.500 0.000 0.000

[3]
A crystal of Ag2OsPt relaxed with PBEsol, computed with SCAN.

Properties
relative energy among the computed polymorphs: 0.3431 eV/atom
SG: I4/mmm (139)
formation energy from the elements: 0.614 eV/atom

a = 3.842 Å, b = 3.842 Å, c = 5.014 Å
α = 112.53°, β = 112.53°, γ = 90.00°
Sites, in units of the cell vectors:
Os: 0.500 0.500 0.000
Ag: 0.750 0.250 0.500
Ag: 0.250 0.750 0.500
Pt: 0.000 0.000 0.000

[4]
A crystal of Cu2SiMo relaxed with PBEsol, computed with SCAN.

Properties
SG: Cmmm (65)
E_form (uncorrected): 0.14 eV/atom

a = 2.579 Å, b = 4.732 Å, c = 4.732 Å
α = 116.44°, β = 90.00°, γ = 90.00°
Sites, in units of the cell vectors:
Cu: 0.000 0.500 0.000
Cu: 0.000 0.000 0.500
Mo: 0.500 0.000 0.000
Si: 0.500 0.500 0.500

[5]
A crystal of Pr3Bi4Au3 relaxed with PBEsol, computed with SCAN.

Properties
SG: I-43d (220)
formation energy from the elements: -0.940 eV/atom

a = 8.830 Å, b = 8.830 Å, c = 8.830 Å
α = 109.47°, β = 109.47°, γ = 109.47°
Sites, in units of the cell vectors:
Pr: 0.125 0.250 0.375
Pr: 0.375 0.750 0.125
Pr: 0.750 0.625 0.875
Pr: 0.250 0.875 0.625
Pr: 0.875 0.125 0.750
Pr: 0.625 0.375 0.250
Bi: 0.321 0.321 0.821
Bi: 0.500 0.179 0.500
Bi: 0.000 0.500 0.679
Bi: 0.179 0.000 0.000
Bi: 0.500 0.679 0.500
Bi: 0.821 0.821 0.321
Bi: 0.000 0.500 0.179
Bi: 0.679 0.000 0.000
Au: 0.625 0.250 0.875
Au: 0.875 0.750 0.625
Au: 0.750 0.125 0.375
Au: 0.250 0.375 0.125
Au: 0.375 0.625 0.750
Au: 0.125 0.875 0.250

[6]
A crystal of CoSF3 relaxed with PBEsol, computed with SCAN.

Properties
SG: Pm-3m (221)
E_form (uncorrected): -1.04 eV/atom

a = 3.978 Å, b = 3.978 Å, c = 3.978 Å
α = 90.00°, β = 90.00°, γ = 90.00°
Sites, in units of the cell vectors:
S: 0.500 0.500 0.500
Co: 0.000 0.000 0.000
F: 0.000 0.500 0.000
F: 0.000 0.000 0.500
F: 0.500 0.000 0.000

[7]
A crystal of Nd2V2O7 relaxed with PBEsol, computed with SCAN.

Properties
SG: Fd-3m (227)
E_form (uncorrected): -3.17 eV/atom

a = 7.190 Å, b = 7.190 Å, c = 7.190 Å
α = 60.00°, β = 60.00°, γ = 60.00°
Sites, in units of the cell vectors:
Nd: 0.125 0.625 0.125
Nd: 0.625 0.125 0.125
Nd: 0.125 0.125 0.625
Nd: 0.125 0.125 0.125
V: 0.125 0.625 0.625
V: 0.625 0.625 0.625
V: 0.625 0.625 0.125
V: 0.625 0.125 0.625
O: 0.552 0.948 0.948
O: 0.698 0.698 0.302
O: 0.302 0.698 0.698
O: 0.552 0.948 0.552
O: 0.948 0.552 0.948
O: 0.250 0.250 0.250
O: 0.948 0.948 0.552
O: 0.302 0.698 0.302
O: 0.302 0.302 0.698
O: 0.000 0.000 0.000
O: 0.698 0.302 0.698
O: 0.948 0.552 0.552
O: 0.552 0.552 0.948
O: 0.698 0.302 0.302

[8]
A crystal of KNi2H3Se2O10 relaxed with PBEsol, computed with SCAN.

Properties
SG: Cm (8)

a = 5.482 Å, b = 5.482 Å, c = 7.615 Å
α = 70.56°, β = 70.56°, γ = 70.49°
Sites, in units of the cell vectors:
K: 0.499 0.499 0.501
Ni: 0.995 0.499 0.000
Ni: 0.499 0.995 0.000
H: 0.686 0.686 0.782
H: 0.309 0.309 0.224
H: 0.485 0.485 0.010
Se: 0.919 0.919 0.281
Se: 0.077 0.077 0.721
O: 0.796 0.796 0.509
O: 0.201 0.201 0.492
O: 0.648 0.648 0.923
O: 0.346 0.346 0.082
O: 0.804 0.804 0.146
O: 0.192 0.192 0.855
O: 0.253 0.816 0.227
O: 0.816 0.253 0.227
O: 0.743 0.181 0.775
O: 0.181 0.743 0.775

[9]
A crystal of PSeO2 relaxed with PBEsol, computed with SCAN.

Properties
relative energy among the computed polymorphs: 0.2114 eV/atom
SG: R-3m (166)
E_form (uncorrected): -0.33 eV/atom

a = 2.916 Å, b = 2.916 Å, c = 8.807 Å
α = 80.47°, β = 80.47°, γ = 60.00°
Sites, in units of the cell vectors:
P: 0.000 0.000 0.000
O: 0.943 0.943 0.171
O: 0.057 0.057 0.829
Se: 0.500 0.500 0.500

[10]
A crystal of Mg3HPd relaxed with PBEsol, computed with SCAN.

Properties
SG: Pm-3m (221)

a = 4.166 Å, b = 4.166 Å, c = 4.166 Å
α = 90.00°, β = 90.00°, γ = 90.00°
Sites, in units of the cell vectors:
H: 0.000 0.000 0.000
Mg: 0.000 0.500 0.000
Mg: 0.000 0.000 0.500
Mg: 0.500 0.000 0.000
Pd: 0.500 0.500 0.500

[11]
A crystal of K2SiAs relaxed with PBEsol, computed with SCAN.

Properties
relative energy among the computed polymorphs: 0.4719 eV/atom
SG: P4/mmm (123)
E_form (uncorrected): 0.17 eV/atom

a = 3.004 Å, b = 3.004 Å, c = 10.513 Å
α = 90.00°, β = 90.00°, γ = 90.00°
Sites, in units of the cell vectors:
As: 0.500 0.500 0.500
K: 0.000 0.000 0.741
K: 0.000 0.000 0.259
Si: 0.500 0.500 0.000

[12]
A crystal of CoRe2Ni relaxed with PBEsol, computed with SCAN.

Properties
relative energy among the computed polymorphs: 0.0972 eV/atom
SG: P4/mmm (123)
formation energy from the elements: 0.102 eV/atom

a = 2.585 Å, b = 2.585 Å, c = 7.434 Å
α = 90.00°, β = 90.00°, γ = 90.00°
Sites, in units of the cell vectors:
Co: 0.500 0.500 0.000
Ni: 0.500 0.500 0.500
Re: 0.000 0.000 0.753
Re: 0.000 0.000 0.247

| no. | DFT total energy (eV per atom) |
| --- | --- |
| 1 | -27.180 |
| 2 | -20.334 |
| 3 | -50.588 |
| 4 | -18.685 |
| 5 | -66.116 |
| 6 | -8.551 |
| 7 | -18.238 |
| 8 | -9.696 |
| 9 | -11.064 |
| 10 | -10.597 |
| 11 | -11.547 |
| 12 | -43.816 |